(1)
Crystalline SrCoIr2 at its relaxed geometry, computed with PBE.

a b c (Å): 4.345 4.345 5.881
angles (deg): 68.52 68.52 60.00
Fractional positions:
Ir  0.001  0.001  0.997
Ir  0.686  0.686  0.943
Sr  0.498  0.498  0.505
Co  0.315  0.315  0.055

Properties
DFT formation energy	-6.96	kJ/mol of atoms
M_tot	2.395	μB/f.u.
final energy	-6.6996	eV per atom

(2)
Crystalline TbDy5Ag4 at its relaxed geometry, computed with PBE.

a b c (Å): 3.608 3.608 19.674
angles (deg): 90.00 90.00 90.00
Fractional positions:
Tb  0.000  0.000  0.000
Dy  0.500  0.500  0.874
Dy  0.500  0.500  0.500
Dy  0.500  0.500  0.312
Dy  0.500  0.500  0.126
Dy  0.500  0.500  0.688
Ag  0.000  0.000  0.219
Ag  0.000  0.000  0.781
Ag  0.000  0.000  0.406
Ag  0.000  0.000  0.594

Properties
DFT formation energy	-23.92	kJ/mol of atoms
M_tot	0.000	μB/f.u.
final energy	-4.1525	eV per atom

(3)
Crystalline RbBaIn2Ru at its relaxed geometry, computed with PBE.

a b c (Å): 5.309 5.901 5.309
angles (deg): 90.00 90.00 90.00
Fractional positions:
In  0.500  0.000  0.000
In  0.000  0.000  0.500
Ru  0.000  0.000  0.000
Rb  0.000  0.500  0.000
Ba  0.500  0.500  0.500

Properties
DFT formation energy	20.02	kJ/mol of atoms
M_tot	0.000	μB/f.u.
final energy	-3.3211	eV per atom

(4)
Crystalline SrCeCuS4 at its relaxed geometry, computed with PBE.

a b c (Å): 6.851 5.560 8.395
angles (deg): 90.00 107.10 90.00
Fractional positions:
S  0.983  0.484  0.266
S  0.439  0.750  0.137
S  0.561  0.250  0.863
S  0.421  0.750  0.589
S  0.579  0.250  0.411
S  0.017  0.516  0.734
S  0.017  0.984  0.734
S  0.983  0.016  0.266
Cu  0.755  0.250  0.686
Cu  0.245  0.750  0.314
Ce  0.268  0.250  0.563
Ce  0.732  0.750  0.437
Sr  0.271  0.250  0.064
Sr  0.729  0.750  0.936

Properties
formation energy from raw total energies	-1.441	eV per atom
M_tot	0.285	μB/f.u.
final energy	-5.4727	eV per atom

(5)
Crystalline KAcSn2Cl8 at its relaxed geometry, computed with PBE.

a b c (Å): 6.959 6.611 9.224
angles (deg): 91.99 92.04 88.59
Fractional positions:
Cl  0.352  0.288  0.457
Cl  0.855  0.256  0.770
Cl  0.192  0.785  0.767
Cl  0.671  0.736  0.962
Cl  0.808  0.215  0.233
Cl  0.329  0.264  0.038
Cl  0.648  0.712  0.543
Cl  0.145  0.744  0.230
K  0.000  0.000  0.500
Sn  0.492  0.499  0.259
Sn  0.508  0.501  0.741
Ac  0.000  0.000  0.000

Properties
formation energy from raw total energies	-1.631	eV per atom
M_tot	0.000	μB/f.u.
final energy	-3.9629	eV per atom

Respective N(E_F) values: 3.6 7.4 4.9 2.9 0.0 states/eV/f.u..